! BaCr2SnBi | Alexandria | PBE | relaxed; values from VASP
! - density (g/cm3) = 5.3
! - SG = P4/mmm, No. 123
! - formation enthalpy at 0 K (eV/atom) = 0.67
! - volume (Å³ per cell) = 176.74
! - size of the total moment (Bohr magnetons per cell) = 8.2
&SYSTEM
  ibrav = 0, nat = 5, ntyp = 4
/
ATOMIC_SPECIES
Ba 137.33 Ba.upf
Cr 52.00 Cr.upf
Sn 118.71 Sn.upf
Bi 208.98 Bi.upf
CELL_PARAMETERS angstrom
5.332 0.000 0.000
0.000 5.332 0.000
0.000 0.000 6.217
ATOMIC_POSITIONS crystal
Ba 0.000 0.000 0.000
Cr 0.000 0.500 0.500
Cr 0.500 0.000 0.500
Sn 0.500 0.500 0.000
Bi 0.500 0.500 0.500